1.
# LaSmHo2S4

A relaxed LaSmHo2S4 crystal (PBE-GGA, Alexandria).

Values from the calculation:
Mass density ... 6.94 g/cm3
ΔE_f (raw) ... -2.036 eV per atom
Size of the total moment ... 0.00 μB per formula unit
E_tot ... -6.45 eV per atom
D(E_F) ... 4.72 states/eV/f.u.
Calculated volume ... 22.4 Å³/atom

Cell: 6.8528 3.9287 7.0172 Å, 90.00 108.80 90.00°
With the nearest neighbours (Å) after each atom.
Space group P2/m (No. 10)
Asymmetric unit:
1 La 0.0000 0.0000 0.0000  6 S 2.90-2.91
2 Sm 0.5000 0.5000 0.0000  6 S 2.87
3 Ho 0.0000 0.5000 0.5000  6 S 2.77
4 Ho 0.5000 0.0000 0.5000  6 S 2.73-2.74
5 S 0.2484 0.0000 0.7340  3 Ho 2.74-2.77, 2 Sm 2.87, 1 La 2.90
6 S 0.2608 0.5000 0.2694  3 Ho 2.73-2.77, 1 Sm 2.87, 2 La 2.91

2.
# LaSm2Ho3S6

A relaxed LaSm2Ho3S6 crystal (PBE-GGA, Alexandria).

Values from the calculation:
Mass density ... 7.04 g/cm3
ΔE_f (raw) ... -2.028 eV per atom
Size of the total moment ... 0.00 μB per formula unit
E_tot ... -6.43 eV per atom
D(E_F) ... 5.51 states/eV/f.u.
Calculated volume ... 22.1 Å³/atom

Cell: 6.8311 11.8703 6.9398 Å, 90.00 109.23 90.00°
With the nearest neighbours (Å) after each atom.
Space group C2/m (No. 12)
Asymmetric unit:
1 La 0.0000 0.0000 0.0000  6 S 2.89-2.90
2 Sm 0.0000 0.3328 0.0000  6 S 2.85-2.86
3 Ho 0.0000 0.1656 0.5000  6 S 2.73-2.76
4 Ho 0.0000 0.5000 0.5000  6 S 2.72-2.76
5 S 0.2420 0.3309 0.7341  3 Ho 2.73-2.76, 2 Sm 2.85, 1 La 2.90
6 S 0.2503 0.0000 0.7358  3 Ho 2.72-2.76, 2 Sm 2.86, 1 La 2.89

Please write out number 2 again, unchanged.
# LaSm2Ho3S6

A relaxed LaSm2Ho3S6 crystal (PBE-GGA, Alexandria).

Values from the calculation:
Mass density ... 7.04 g/cm3
ΔE_f (raw) ... -2.028 eV per atom
Size of the total moment ... 0.00 μB per formula unit
E_tot ... -6.43 eV per atom
D(E_F) ... 5.51 states/eV/f.u.
Calculated volume ... 22.1 Å³/atom

Cell: 6.8311 11.8703 6.9398 Å, 90.00 109.23 90.00°
With the nearest neighbours (Å) after each atom.
Space group C2/m (No. 12)
Asymmetric unit:
1 La 0.0000 0.0000 0.0000  6 S 2.89-2.90
2 Sm 0.0000 0.3328 0.0000  6 S 2.85-2.86
3 Ho 0.0000 0.1656 0.5000  6 S 2.73-2.76
4 Ho 0.0000 0.5000 0.5000  6 S 2.72-2.76
5 S 0.2420 0.3309 0.7341  3 Ho 2.73-2.76, 2 Sm 2.85, 1 La 2.90
6 S 0.2503 0.0000 0.7358  3 Ho 2.72-2.76, 2 Sm 2.86, 1 La 2.89

What did the second record say?
# LaSm2Ho3S6

A relaxed LaSm2Ho3S6 crystal (PBE-GGA, Alexandria).

Values from the calculation:
Mass density ... 7.04 g/cm3
ΔE_f (raw) ... -2.028 eV per atom
Size of the total moment ... 0.00 μB per formula unit
E_tot ... -6.43 eV per atom
D(E_F) ... 5.51 states/eV/f.u.
Calculated volume ... 22.1 Å³/atom

Cell: 6.8311 11.8703 6.9398 Å, 90.00 109.23 90.00°
With the nearest neighbours (Å) after each atom.
Space group C2/m (No. 12)
Asymmetric unit:
1 La 0.0000 0.0000 0.0000  6 S 2.89-2.90
2 Sm 0.0000 0.3328 0.0000  6 S 2.85-2.86
3 Ho 0.0000 0.1656 0.5000  6 S 2.73-2.76
4 Ho 0.0000 0.5000 0.5000  6 S 2.72-2.76
5 S 0.2420 0.3309 0.7341  3 Ho 2.73-2.76, 2 Sm 2.85, 1 La 2.90
6 S 0.2503 0.0000 0.7358  3 Ho 2.72-2.76, 2 Sm 2.86, 1 La 2.89